Computed, not measured: an optimized crystal structure of Sr6Al2Tl at the PBE level of DFT.

Structure (POSCAR):
```
Sr6Al2Tl
1.0
-5.462 5.536 5.889
5.462 -5.536 5.889
5.462 5.536 -5.889
Sr Al Tl
12 4 2
Direct
0.032 0.828 0.205
0.248 0.548 0.300
0.248 0.948 0.700
0.268 0.320 0.588
0.268 0.680 0.949
0.377 0.172 0.205
0.623 0.828 0.795
0.732 0.320 0.051
0.732 0.680 0.412
0.752 0.052 0.300
0.752 0.452 0.700
0.968 0.172 0.795
0.000 0.135 0.135
0.000 0.865 0.865
0.390 0.390 0.000
0.610 0.610 0.000
0.000 0.500 0.500
0.500 0.000 0.500
```

E_form = -1.3 eV per formula unit
space group = Immm (71)
VASP energy = -2.37 eV/atom